No. 1
A relaxed NiBiHRh2 crystal, computed with PBE.

Cell: 3.9020 3.9020 4.4966 Å, 90.00 90.00 90.00°
Space group P4/mmm (No. 123)
Unique sites:
Ni: 0.0000 0.0000 0.0000
Bi: 0.5000 0.5000 0.0000
H: 0.5000 0.5000 0.5000
Rh: 0.0000 0.5000 0.5000

Values from the calculation:
Total magnetization, μB per atom: 0.000
Calculated total energy, eV/atom: -5.301

No. 2
A relaxed YGe2IrRh crystal, computed with PBE.

Cell: 4.1519 4.1519 10.3619 Å, 90.00 90.00 90.00°
Space group I-4m2 (No. 119)
Unique sites:
Y: 0.0000 0.0000 0.0000
Ge: 0.0000 0.0000 0.3787
Ir: 0.0000 0.5000 0.2500
Rh: 0.0000 0.5000 0.7500

Values from the calculation:
Total magnetization, μB per atom: 0.000
Calculated total energy, eV/atom: -7.211

No. 3
A relaxed LiHfTa3 crystal, computed with PBE.

Cell: 4.9785 4.9785 4.9785 Å, 90.00 90.00 90.00°
Space group Pm-3m (No. 221)
Unique sites:
Li: 0.0000 0.0000 0.0000
Hf: 0.5000 0.5000 0.5000
Ta: 0.0000 0.5000 0.5000

Values from the calculation:
Total magnetization, μB per atom: 0.124
Calculated total energy, eV/atom: -7.588

No. 4
A relaxed TbNd2Gd crystal, computed with PBE.

Cell: 3.6330 3.6330 35.3801 Å, 90.00 90.00 120.00°
Space group R-3m (No. 166, hexagonal axes)
Unique sites:
Tb: 0.0000 0.0000 0.0000
Nd: 0.0000 0.0000 0.2504
Gd: 0.0000 0.0000 0.5000

Values from the calculation:
Total magnetization, μB per atom: 1.801
Calculated total energy, eV/atom: -7.049

- Look up the total magnetization of the third one.
  0.124 μB per atom

- Which value of total magnetization does entry 4 give?
  1.801 μB per atom